5
Lattice="-4.612 2.149 1.281 -0.928 -3.964 3.311 2.324 2.684 3.864" Properties=species:S:1:pos:R:3 comment="CsMgAs3 | Alexandria via LeMat-Bulk | PBE-GGA | relaxed" polymorph_energy_mev_per_atom=0 magnetic_moment_mub_per_cell=0.00 delta_e_f_ev_per_atom=0.2424 spacegroup="Pm-3m (221)" crystal_system=cubic final_energy_ev_per_atom=-3.037 pbc="T T T"
Cs -1.608 0.435 4.228
Mg 0.000 0.000 0.000
As -0.464 -1.982 1.655
As -2.306 1.075 0.640
As 1.162 1.342 1.932

---

5
Lattice="-2.434 4.576 -3.087 -5.488 -2.369 0.816 -0.364 1.925 3.140" Properties=species:S:1:pos:R:3 comment="SrAsBr2N | Alexandria via LeMat-Bulk | PBE-GGA | relaxed" polymorph_energy_mev_per_atom=0 magnetic_moment_mub_per_cell=0.00 formation_energy_uncorrected_kj_per_mol_atoms=-8.09 spacegroup="P4/mmm (123)" crystal_system=tetragonal final_energy_ev_per_atom=-3.684 pbc="T T T"
Br -2.744 -1.184 0.408
Sr -4.143 2.066 0.435
N 0.000 0.000 0.000
As -0.182 0.962 1.570
Br -1.217 2.288 -1.543

---

4
Lattice="-3.844 -1.760 -2.597 -3.502 -2.688 2.265 -4.533 1.900 0.681" Properties=species:S:1:pos:R:3 comment="EuInGePd | Alexandria via LeMat-Bulk | PBE-GGA | relaxed" magnetic_moment_mub_per_cell=7.00 delta_e_f_ev_per_atom=-0.4390 spacegroup="F-43m (216)" crystal_system=cubic final_energy_ev_per_atom=-6.145 pbc="T T T"
In -5.939 -1.274 0.174
Pd -8.909 -1.911 0.261
Ge -2.970 -0.637 0.087
Eu 0.000 0.000 0.000

---

6
Lattice="-0.175 -4.134 5.296 -3.762 1.549 5.349 -5.566 -3.526 1.329" Properties=species:S:1:pos:R:3 comment="Ca4YAu | Alexandria via LeMat-Bulk | PBE-GGA | relaxed" magnetic_moment_mub_per_cell=0.74 delta_e_f_ev_per_atom=0.3582 spacegroup="F-43m (216)" crystal_system=cubic final_energy_ev_per_atom=-2.600 pbc="T T T"
Au 0.000 0.000 0.000
Y -7.127 -4.583 8.981
Ca -3.566 -2.293 4.493
Ca -3.653 -4.356 7.137
Ca -5.444 -1.519 7.163
Ca -6.344 -4.053 5.156

---

5
Lattice="-0.703 -4.596 -0.550 3.675 -0.885 2.700 -2.776 -0.027 3.771" Properties=species:S:1:pos:R:3 comment="BeSiMoRh2 | Alexandria via LeMat-Bulk | PBE-GGA | relaxed" magnetic_moment_mub_per_cell=0.00 formation_energy_uncorrected_kj_per_mol_atoms=133.57 spacegroup="P4/mmm (123)" crystal_system=tetragonal final_energy_ev_per_atom=-5.552 pbc="T T T"
Be 0.098 -2.754 2.960
Mo 0.000 0.000 0.000
Rh -1.388 -0.013 1.885
Rh -0.352 -2.298 -0.275
Si 1.838 -0.443 1.350

---

8
Lattice="4.242 0.000 0.000 0.000 7.455 0.157 0.000 -2.581 7.116" Properties=species:S:1:pos:R:3 comment="Li2ErPaTe4 | Alexandria via LeMat-Bulk | PBE-GGA | relaxed" magnetic_moment_mub_per_cell=1.84 formation_energy_uncorrected_kj_per_mol_atoms=-100.49 spacegroup="P2/m (10)" crystal_system=monoclinic final_energy_ev_per_atom=-4.848 pbc="T T T"
Er 0.000 0.000 0.000
Pa 2.121 3.727 0.079
Te 0.000 -0.107 5.288
Te 2.121 1.195 1.871
Li 0.000 2.437 3.637
Te 2.121 3.679 5.403
Te 0.000 4.981 1.986
Li 2.121 -1.290 3.558

---

4
Lattice="-1.266 4.031 -1.156 -3.034 -0.911 0.146 -1.745 1.393 6.771" Properties=species:S:1:pos:R:3 comment="LiCd2Te | Alexandria via LeMat-Bulk | PBE-GGA | relaxed" magnetic_moment_mub_per_cell=0.00 formation_energy_uncorrected_kj_per_mol_atoms=-28.00 spacegroup="Amm2 (38)" crystal_system=orthorhombic final_energy_ev_per_atom=-2.012 pbc="T T T"
Li -2.583 0.225 3.614
Cd -2.476 -0.642 0.472
Cd -1.636 2.174 1.075
Te -4.772 2.087 4.205

---

7
Lattice="-4.789 4.026 0.158 -0.210 -0.495 6.236 2.311 7.464 3.812" Properties=species:S:1:pos:R:3 comment="Sr4W2Br | Alexandria via LeMat-Bulk | PBE-GGA | relaxed" magnetic_moment_mub_per_cell=0.89 formation_energy_uncorrected_kj_per_mol_atoms=53.98 spacegroup="I4/mmm (139)" crystal_system=tetragonal final_energy_ev_per_atom=-4.341 pbc="T T T"
W -0.886 8.404 6.919
Br 0.000 0.000 0.000
Sr 0.295 5.076 3.554
Sr -0.105 -0.248 3.118
W -1.802 2.592 3.286
Sr -2.983 5.920 6.651
Sr -2.395 2.013 0.079

---

no.,V (Å³ per cell)
1,144.5
2,134.7
3,86.4
4,214.7
5,101.8
6,226.8
7,96.6
8,293.1